TiW3Br: relaxed, PBE-GGA.

The value obtained for the formation energy (no corrections) is 2326 meV/atom. As for the density of states at the Fermi level: 6.775 states/eV per cell.

The space group is Pm-3m (No. 221) and the conventional cell measures 4.6926, 4.6926 and 4.6926 Å, with angles of 90.00, 90.00 and 90.00 degrees. Symmetry generates all atoms from Ti at (0.0000, 0.0000, 0.0000), W at (0.0000, 0.0000, 0.5000) and Br at (0.5000, 0.5000, 0.5000).